(1)
First-principles (PBEsol) data for CoPbAu2 after structural relaxation, as listed in Alexandria via LeMat-Bulk.

Lattice parameters (Å, degrees): 3.971 3.982 4.367 90.00 90.00 90.00
Sites, in units of the cell vectors:
Co: 0.000 0.000 0.000
Pb: 0.500 0.500 0.000
Au: 0.000 0.500 0.500
Au: 0.500 0.000 0.500

Volume, Å³ per cell: 69.1
Mass density, g/cm³: 15.87
ΔE_f, eV/atom: 0.3221
Total magnetic moment, μB/cell: 1.4



(2)
First-principles (PBEsol) data for IrRuBr after structural relaxation, as listed in Alexandria via LeMat-Bulk.

Lattice parameters (Å, degrees): 4.254 4.254 4.254 60.00 60.00 60.00
Sites, in units of the cell vectors:
Ir: 0.000 0.000 0.000
Ru: 0.750 0.750 0.750
Br: 0.250 0.250 0.250

Volume, Å³ per cell: 54.4
Mass density, g/cm³: 11.39
Polymorph energy (0 for the lowest one), eV per atom: 0.337
Total magnetic moment, μB/cell: 0.0
Formation energy from raw total energies, eV/atom: 1.2208



(3)
First-principles (PBEsol) data for BaCu3Br after structural relaxation, as listed in Alexandria via LeMat-Bulk.

Lattice parameters (Å, degrees): 4.895 4.895 4.895 90.00 90.00 90.00
Sites, in units of the cell vectors:
Ba: 0.000 0.000 0.000
Cu: 0.000 0.500 0.500
Cu: 0.500 0.000 0.500
Cu: 0.500 0.500 0.000
Br: 0.500 0.500 0.500

Volume, Å³ per cell: 117.3
Mass density, g/cm³: 5.77
Polymorph energy (0 for the lowest one), eV per atom: 0.000
Total magnetic moment, μB/cell: 0.0
Formation energy from raw total energies, eV/atom: 0.5937



(4)
First-principles (PBEsol) data for Ba2LaAg2 after structural relaxation, as listed in Alexandria via LeMat-Bulk.

Lattice parameters (Å, degrees): 8.749 8.749 4.794 90.00 90.00 90.00
Sites, in units of the cell vectors:
Ba: 0.171 0.329 0.000
Ba: 0.329 0.829 0.000
Ba: 0.671 0.171 0.000
Ba: 0.829 0.671 0.000
La: 0.000 0.000 0.500
La: 0.500 0.500 0.500
Ag: 0.126 0.626 0.500
Ag: 0.374 0.126 0.500
Ag: 0.626 0.874 0.500
Ag: 0.874 0.374 0.500

Volume, Å³ per cell: 366.9
Mass density, g/cm³: 5.70
ΔE_f, eV/atom: -0.0761
Total magnetic moment, μB/cell: 0.0



(5)
First-principles (PBEsol) data for NaFe2P2HO8 after structural relaxation, as listed in Alexandria via LeMat-Bulk.

Lattice parameters (Å, degrees): 5.125 8.424 8.739 96.36 102.50 100.66
Sites, in units of the cell vectors:
Na: 0.075 0.315 0.318
Na: 0.925 0.685 0.682
Fe: 0.106 0.898 0.074
Fe: 0.281 0.376 0.731
Fe: 0.719 0.624 0.269
Fe: 0.894 0.102 0.926
P: 0.333 0.763 0.422
P: 0.432 0.257 0.071
P: 0.568 0.743 0.929
P: 0.667 0.237 0.578
H: 0.441 0.953 0.635
H: 0.559 0.047 0.365
O: 0.094 0.612 0.367
O: 0.241 0.136 0.144
O: 0.249 0.243 0.898
O: 0.291 0.786 0.930
O: 0.293 0.849 0.583
O: 0.332 0.883 0.301
O: 0.393 0.293 0.543
O: 0.462 0.426 0.167
O: 0.538 0.574 0.833
O: 0.607 0.707 0.457
O: 0.668 0.117 0.699
O: 0.707 0.151 0.417
O: 0.709 0.214 0.070
O: 0.751 0.757 0.102
O: 0.759 0.864 0.856
O: 0.906 0.388 0.633

Volume, Å³ per cell: 357.5
Mass density, g/cm³: 3.03
Total magnetic moment, μB/cell: 16.0
Total DFT energy (no corrections), Ry per atom: -0.5276



(6)
First-principles (PBEsol) data for SnWN2O after structural relaxation, as listed in Alexandria via LeMat-Bulk.

Lattice parameters (Å, degrees): 4.040 4.040 3.889 90.00 90.00 90.00
Sites, in units of the cell vectors:
Sn: 0.000 0.000 0.000
W: 0.500 0.500 0.500
N: 0.000 0.500 0.000
N: 0.500 0.000 0.000
O: 0.000 0.000 0.500

Volume, Å³ per cell: 63.5
Mass density, g/cm³: 9.07
Total magnetic moment, μB/cell: 2.0
Formation energy from raw total energies, eV/atom: 1.2353